1.
DFT (GGA-PBEsol) results for a geometry-optimized Li6W2O9 structure.

## Properties
Calculated total energy   -7.289 eV/atom
Symmetry   C2/c, No. 15

The structure in POSCAR format:
```
Li6W2O9
1.0
4.860 -4.359 0.000
4.860 4.359 0.000
-3.401 0.000 7.422
Li W O
12 4 18
Direct
0.139 0.495 0.410
0.154 0.517 0.915
0.160 0.169 0.083
0.169 0.160 0.583
0.483 0.846 0.585
0.495 0.139 0.910
0.505 0.861 0.090
0.517 0.154 0.415
0.831 0.840 0.417
0.840 0.831 0.917
0.846 0.483 0.085
0.861 0.505 0.590
0.134 0.866 0.250
0.491 0.509 0.750
0.509 0.491 0.250
0.866 0.134 0.750
0.156 0.175 0.833
0.168 0.830 0.475
0.170 0.832 0.025
0.175 0.156 0.333
0.189 0.519 0.178
0.198 0.484 0.669
0.481 0.811 0.322
0.484 0.198 0.169
0.500 0.500 0.000
0.500 0.500 0.500
0.516 0.802 0.831
0.519 0.189 0.678
0.802 0.516 0.331
0.811 0.481 0.822
0.825 0.844 0.667
0.830 0.168 0.975
0.832 0.170 0.525
0.844 0.825 0.167
```

---

2.
DFT (GGA-PBEsol) results for a geometry-optimized Tc2Os structure.

## Properties
Formation energy   -0.15 eV/f.u.
Symmetry   Cmcm, No. 63

The structure in POSCAR format:
```
Tc2Os
1.0
1.362 -7.097 0.000
1.362 7.097 0.000
0.000 0.000 4.325
Tc Os
4 2
Direct
0.055 0.945 0.750
0.389 0.611 0.750
0.611 0.389 0.250
0.945 0.055 0.250
0.278 0.722 0.250
0.722 0.278 0.750
```

---

3.
DFT (GGA-PBEsol) results for a geometry-optimized NiTe2AuN structure.

## Properties
Calculated total energy   -4.716 eV/atom
Symmetry   P4/mmm, No. 123

The structure in POSCAR format:
```
NiTe2AuN
1.0
5.252 0.000 0.000
0.000 5.252 0.000
0.000 0.000 3.363
Ni Te Au N
1 2 1 1
Direct
0.000 0.000 0.000
0.000 0.500 0.000
0.500 0.000 0.000
0.500 0.500 0.500
0.000 0.000 0.500
```

---

4.
DFT (GGA-PBEsol) results for a geometry-optimized BaCdSe2N structure.

## Properties
Calculated total energy   -4.011 eV/atom
Symmetry   P4/mmm, No. 123

The structure in POSCAR format:
```
BaCdSe2N
1.0
5.360 0.000 0.000
0.000 5.360 0.000
0.000 0.000 4.333
Ba Cd Se N
1 1 2 1
Direct
0.000 0.000 0.000
0.500 0.500 0.500
0.000 0.500 0.500
0.500 0.000 0.500
0.500 0.500 0.000
```

---

5.
DFT (GGA-PBEsol) results for a geometry-optimized Er3Tl2Cu5S8 structure.

## Properties
Calculated total energy   -5.331 eV/atom
Symmetry   Cm, No. 8

The structure in POSCAR format:
```
Er3Tl2Cu5S8
1.0
6.788 -1.921 0.000
6.788 1.921 0.000
-5.134 0.000 13.171
Er Tl Cu S
3 2 5 8
Direct
0.000 0.000 0.000
0.137 0.137 0.387
0.297 0.297 0.768
0.332 0.332 0.174
0.964 0.964 0.586
0.353 0.353 0.382
0.547 0.547 0.844
0.614 0.614 0.191
0.678 0.678 0.582
0.749 0.749 0.925
0.018 0.018 0.190
0.273 0.273 0.576
0.348 0.348 0.970
0.529 0.529 0.434
0.643 0.643 0.026
0.654 0.654 0.745
0.759 0.759 0.341
0.949 0.949 0.799
```

---

6.
DFT (GGA-PBEsol) results for a geometry-optimized K2ZrPb structure.

## Properties
Formation energy   2.23 eV/f.u.
Symmetry   P4/mmm, No. 123

The structure in POSCAR format:
```
K2ZrPb
1.0
3.174 0.000 0.000
0.000 3.174 0.000
0.000 0.000 12.632
K Zr Pb
2 1 1
Direct
0.000 0.000 0.233
0.000 0.000 0.767
0.500 0.500 0.500
0.500 0.500 0.000
```

---

7.
DFT (GGA-PBEsol) results for a geometry-optimized NdInNi structure.

## Properties
Formation energy   -1.45 eV/f.u.
Symmetry   P-62m, No. 189

The structure in POSCAR format:
```
NdInNi
1.0
7.452 0.000 0.000
-3.726 6.454 0.000
0.000 0.000 3.862
Nd In Ni
3 3 3
Direct
0.000 0.414 0.000
0.414 0.000 0.000
0.586 0.586 0.000
0.000 0.752 0.500
0.248 0.248 0.500
0.752 0.000 0.500
0.000 0.000 0.000
0.333 0.667 0.500
0.667 0.333 0.500
```

---

8.
DFT (GGA-PBEsol) results for a geometry-optimized V2Pb3O8 structure.

## Properties
Calculated total energy   -7.522 eV/atom
Symmetry   C2, No. 5

The structure in POSCAR format:
```
V2Pb3O8
1.0
4.675 -3.120 0.000
4.675 3.120 0.000
-3.385 0.000 6.615
V Pb O
2 3 8
Direct
0.093 0.093 0.296
0.907 0.907 0.704
0.227 0.333 0.890
0.500 0.500 0.500
0.667 0.773 0.110
0.163 0.752 0.262
0.182 0.274 0.542
0.248 0.837 0.738
0.259 0.149 0.171
0.726 0.818 0.458
0.750 0.197 0.204
0.803 0.250 0.796
0.851 0.741 0.829
```